The following is a PBE with a Hubbard U calculation of Li6V3P8O29 after structural relaxation, from the Alexandria database.

Cell and atoms, written as CIF:
```
data_Li6V3P8O29
_symmetry_space_group_name_H-M 'C 1 2 1'
_symmetry_Int_Tables_number 5
_symmetry_space_group_name_Hall 'C 2y'
_cell_length_a 16.9940
_cell_length_b 9.8433
_cell_length_c 13.9882
_cell_angle_alpha 90.00
_cell_angle_beta 90.35
_cell_angle_gamma 90.00
loop_
_atom_site_label
_atom_site_fract_x
_atom_site_fract_y
_atom_site_fract_z
Li1 0.0447 0.0000 0.1877
Li2 0.1110 0.5297 0.1928
Li3 0.1157 0.9303 0.6922
Li4 0.1539 0.6583 0.8142
Li5 0.1585 0.7930 0.3098
Li6 0.1635 0.2302 0.3637
V1 0.0000 0.1657 0.0000
V2 0.0000 0.2973 0.5000
V3 0.2141 0.5129 0.0010
V4 0.2170 0.9436 0.4971
P1 0.0415 0.4552 0.9067
P2 0.0436 0.0039 0.4063
P3 0.1150 0.5219 0.4119
P4 0.1164 0.9351 0.9107
P5 0.1619 0.6576 0.5962
P6 0.1617 0.8022 0.0929
P7 0.1664 0.2229 0.6228
P8 0.1681 0.2291 0.1229
O1 0.0000 0.5183 0.0000
O2 0.0000 0.9459 0.5000
O3 0.0020 0.4989 0.1800
O4 0.0039 0.9705 0.6816
O5 0.0415 0.4334 0.4117
O6 0.0418 0.0249 0.9103
O7 0.0477 0.3003 0.9235
O8 0.0565 0.1581 0.4199
O9 0.0923 0.2919 0.5766
O10 0.0948 0.1485 0.0834
O11 0.1055 0.8374 0.0021
O12 0.1089 0.6180 0.5043
O13 0.1218 0.8514 0.1826
O14 0.1217 0.8508 0.8214
O15 0.1243 0.9314 0.4056
O16 0.1248 0.6072 0.3236
O17 0.1261 0.5180 0.9124
O18 0.1266 0.6099 0.6867
O19 0.1633 0.3807 0.0859
O20 0.1670 0.2110 0.7284
O21 0.1674 0.2291 0.2308
O22 0.1668 0.6451 0.0922
O23 0.1676 0.8147 0.5905
O24 0.1690 0.0740 0.5772
O25 0.1876 0.4259 0.4266
O26 0.1911 0.0209 0.9283
O27 0.2416 0.3034 0.5851
O28 0.2417 0.8673 0.0744
O29 0.2453 0.1612 0.0849
O30 0.2460 0.5982 0.5781
```

Output
The total energy comes out at -7.0175 eV/atom. Its crystal system is monoclinic.